# 1
# YTl2Au GGA-PBEsol optimized geometry
# Spin magnetization in μB/cell: 0.0
# Raw total energy in eV for the cell shown: -69.590
# Energy above the most stable polymorph in this dataset in eV per atom: 0.000
# Crystal system: cubic
# Energy of formation from the pure elements in eV/f.u.: -1.4
data_YTl2Au
_chemical_formula_sum 'Y4 Tl8 Au4'
_space_group_name_H-M_alt 'P 1'
_space_group_IT_number 1
_space_group_name_Hall 'P 1'
_cell_length_a 7.1900
_cell_length_b 7.1900
_cell_length_c 7.1900
_cell_angle_alpha 90.00
_cell_angle_beta 90.00
_cell_angle_gamma 90.00
loop_
_atom_site_label
_atom_site_type_symbol
_atom_site_fract_x
_atom_site_fract_y
_atom_site_fract_z
Y1 Y 0.0000 0.0000 0.0000
Y2 Y 0.0000 0.5000 0.5000
Y3 Y 0.5000 0.0000 0.5000
Y4 Y 0.5000 0.5000 0.0000
Tl1 Tl 0.0000 0.0000 0.5000
Tl2 Tl 0.0000 0.5000 0.0000
Tl3 Tl 0.2500 0.2500 0.7500
Tl4 Tl 0.2500 0.7500 0.2500
Tl5 Tl 0.5000 0.0000 0.0000
Tl6 Tl 0.5000 0.5000 0.5000
Tl7 Tl 0.7500 0.2500 0.2500
Tl8 Tl 0.7500 0.7500 0.7500
Au1 Au 0.2500 0.2500 0.2500
Au2 Au 0.2500 0.7500 0.7500
Au3 Au 0.7500 0.2500 0.7500
Au4 Au 0.7500 0.7500 0.2500

***

# 2
# Ba2InPb GGA-PBEsol optimized geometry
# Spin magnetization in μB/cell: 0.0
# Raw total energy in eV for the cell shown: -13.125
# Energy above the most stable polymorph in this dataset in eV per atom: 0.059
# Crystal system: orthorhombic
# Energy of formation from the pure elements in eV/f.u.: -1.8
data_Ba2InPb
_chemical_formula_sum 'Ba2 In1 Pb1'
_space_group_name_H-M_alt 'P 1'
_space_group_IT_number 1
_space_group_name_Hall 'P 1'
_cell_length_a 3.8143
_cell_length_b 4.9423
_cell_length_c 7.6440
_cell_angle_alpha 90.00
_cell_angle_beta 90.00
_cell_angle_gamma 90.00
loop_
_atom_site_label
_atom_site_type_symbol
_atom_site_fract_x
_atom_site_fract_y
_atom_site_fract_z
Ba1 Ba 0.0000 0.0000 0.2472
Ba2 Ba 0.0000 0.0000 0.7528
In1 In 0.5000 0.5000 0.5000
Pb1 Pb 0.5000 0.5000 0.0000